Record 1
! SmSnMo2 (GGA-PBE, optimized geometry); values from VASP
&SYSTEM
  ibrav = 0, nat = 8, ntyp = 3
/
ATOMIC_SPECIES
Sm 150.36 Sm.upf
Sn 118.71 Sn.upf
Mo 95.94 Mo.upf
ATOMIC_POSITIONS angstrom
Sm 0.000 0.000 0.000
Sm 0.000 0.000 2.891
Sn 3.536 1.028 4.336
Sn 3.536 -1.028 1.445
Mo 2.357 1.564 1.445
Mo 4.715 1.564 1.445
Mo 2.357 -1.564 4.336
Mo 4.715 -1.564 4.336
CELL_PARAMETERS angstrom
3.536 -4.154 0.000
3.536 4.154 0.000
0.000 0.000 5.782
! space-group type = Cmcm (63)
! final energy = -7.09 eV per atom
! theoretical density = 9.01 g/cm3

Record 2
! TbYGe2Pd4 (GGA-PBE, optimized geometry); values from VASP
&SYSTEM
  ibrav = 0, nat = 8, ntyp = 4
/
ATOMIC_SPECIES
Tb 158.93 Tb.upf
Y 88.91 Y.upf
Ge 72.64 Ge.upf
Pd 106.42 Pd.upf
ATOMIC_POSITIONS angstrom
Tb 0.000 0.000 0.000
Y 2.200 1.270 4.530
Ge 0.000 2.540 2.274
Ge 0.000 2.540 6.786
Pd 0.000 0.000 3.000
Pd 0.000 0.000 6.059
Pd 2.200 1.270 1.525
Pd 2.200 1.270 7.535
CELL_PARAMETERS angstrom
4.399 0.000 0.000
-2.200 3.810 0.000
0.000 0.000 9.059
! space-group type = P-6m2 (187)
! final energy = -5.97 eV per atom
! theoretical density = 8.95 g/cm3

Record 3
! Rb3TbI6 (GGA-PBE, optimized geometry); values from VASP
&SYSTEM
  ibrav = 0, nat = 10, ntyp = 3
/
ATOMIC_SPECIES
Rb 85.47 Rb.upf
Tb 158.93 Tb.upf
I 126.90 I.upf
ATOMIC_POSITIONS angstrom
Rb 0.000 0.000 0.000
Rb 0.000 0.000 5.908
Rb 0.000 0.000 15.434
Tb 0.000 0.000 10.671
I -2.474 0.307 8.903
I -1.503 -1.989 12.439
I 0.971 -2.296 8.903
I -0.971 2.296 12.439
I 1.503 1.989 8.903
I 2.474 -0.307 12.439
CELL_PARAMETERS angstrom
4.625 2.670 7.114
-4.625 2.670 7.114
0.000 -5.341 7.114
! space-group type = R-3 (148)
! final energy = -3.15 eV per atom
! energy relative to the lowest polymorph listed for this composition = 0.008 eV per atom
! theoretical density = 3.71 g/cm3

Record 4
! DyCuHg (GGA-PBE, optimized geometry); values from VASP
&SYSTEM
  ibrav = 0, nat = 3, ntyp = 3
/
ATOMIC_SPECIES
Dy 162.50 Dy.upf
Cu 63.55 Cu.upf
Hg 200.59 Hg.upf
ATOMIC_POSITIONS angstrom
Dy 0.000 0.000 0.000
Cu 5.070 5.070 5.070
Hg 1.690 1.690 1.690
CELL_PARAMETERS angstrom
0.000 3.380 3.380
3.380 0.000 3.380
3.380 3.380 0.000
! space-group type = F-43m (216)
! ΔH_f (0 K) = 0.436 eV/f.u.
! final energy = -2.73 eV per atom
! theoretical density = 9.17 g/cm3

Record 5
! Pr3CdIn2PdAu2 (GGA-PBE, optimized geometry); values from VASP
&SYSTEM
  ibrav = 0, nat = 9, ntyp = 5
/
ATOMIC_SPECIES
Pr 140.91 Pr.upf
Cd 112.41 Cd.upf
In 114.82 In.upf
Pd 106.42 Pd.upf
Au 196.97 Au.upf
ATOMIC_POSITIONS angstrom
Pr 0.000 0.000 0.000
Pr 0.000 -2.775 4.903
Pr 0.000 2.775 4.903
Cd 2.035 0.000 5.261
In 2.035 -1.688 2.284
In 2.035 1.688 2.284
Pd 0.000 0.000 3.223
Au 2.035 -4.552 3.279
Au 2.035 4.552 3.279
CELL_PARAMETERS angstrom
4.070 0.000 0.000
0.000 6.848 3.982
0.000 -6.848 3.982
! space-group type = Amm2 (38)
! final energy = -4.33 eV per atom
! theoretical density = 9.47 g/cm3

Record 6
! CsHfAsO (GGA-PBE, optimized geometry); values from VASP
&SYSTEM
  ibrav = 0, nat = 8, ntyp = 4
/
ATOMIC_SPECIES
Cs 132.91 Cs.upf
Hf 178.49 Hf.upf
As 74.92 As.upf
O 16.00 O.upf
ATOMIC_POSITIONS angstrom
Cs 1.162 1.162 1.593
Cs 3.485 3.485 10.362
Hf 1.162 3.485 5.977
Hf 3.485 1.162 5.977
As 1.162 1.162 7.254
As 3.485 3.485 4.701
O 1.162 3.485 0.000
O 3.485 1.162 0.000
CELL_PARAMETERS angstrom
4.646 0.000 0.000
0.000 4.646 0.000
0.000 0.000 11.955
! space-group type = P4/nmm (129)
! final energy = -5.44 eV per atom
! energy relative to the lowest polymorph listed for this composition = 1.264 eV per atom
! theoretical density = 5.18 g/cm3